(1)
{"formula": "MgZr2MnHg", "functional": "SCAN", "state": "PBEsol geometry", "cell": [[4.6357, 0.0000, 0.0000], [0.0000, 4.6357, 0.0000], [0.0000, 0.0000, 4.9432]], "species": ["Mg", "Zr", "Zr", "Hg", "Mn"], "frac_coords": [[0.0000, 0.0000, 0.5000], [0.5000, 0.0000, 0.0000], [0.0000, 0.5000, 0.0000], [0.5000, 0.5000, 0.5000], [0.0000, 0.0000, 0.0000]], "ef_ev_per_atom": 0.27, "magmom_total_mub_per_fu": 0.0, "dos_ef_per_ev_fu": 3.61}

(2)
{"formula": "Mg2HgMo", "functional": "SCAN", "state": "PBEsol geometry", "cell": [[4.7229, 0.0000, 0.0000], [2.3614, 4.0901, 0.0000], [2.3614, 1.3634, 3.8562]], "species": ["Mo", "Hg", "Mg", "Mg"], "frac_coords": [[0.2500, 0.2500, 0.2500], [0.5000, 0.5000, 0.5000], [0.7500, 0.7500, 0.7500], [0.0000, 0.0000, 0.0000]], "ef_ev_per_atom": 0.29, "magmom_total_mub_per_fu": 2.8, "dos_ef_per_ev_fu": 2.06}

(3)
{"formula": "Mg2HgMo", "functional": "SCAN", "state": "PBEsol geometry", "cell": [[3.0631, 0.0000, 0.0000], [0.0000, 4.8024, 0.0000], [-1.5315, -2.4012, 4.9628]], "species": ["Mo", "Mg", "Mg", "Hg"], "frac_coords": [[0.5039, 0.5039, 0.0078], [0.7585, 0.2585, 0.5170], [0.9901, 0.9901, 0.9802], [0.2475, 0.7475, 0.4950]], "ef_ev_per_atom": 0.28, "magmom_total_mub_per_fu": 0.0, "dos_ef_per_ev_fu": 2.47}